## A
First-principles (PBE-GGA) data for a geometry-optimized InGaSb structure, as listed in the Alexandria database.

Cell: 4.3103 6.2421 6.2830 Å, 82.23 73.95 71.42°
Last column: nearest neighbours and their distance in Å.
Fractional positions:
In  0.7562  0.3648  0.1517  2 Ga 2.94-3.26, 2 Sb 3.13-3.26, 2 In 3.17-3.23
In  0.2438  0.6352  0.8483  2 Ga 2.94-3.26, 2 Sb 3.13-3.26, 2 In 3.17-3.23
Ga  0.7996  0.7159  0.4849  1 Ga 2.71, 3 Sb 2.83-2.96, 1 In 2.94
Ga  0.2004  0.2841  0.5151  1 Ga 2.71, 3 Sb 2.83-2.96, 1 In 2.94
Sb  0.6972  0.0866  0.7683  3 Ga 2.83-2.96, 1 In 3.13
Sb  0.3028  0.9134  0.2317  3 Ga 2.83-2.96, 1 In 3.13

Summary:
**Space-group type**: P-1, No. 2
**ρ**: 6.6 g cm⁻³
**Size of the total moment**: 0.000 μB per formula unit
**DOS(E_F)**: 1.3 states/eV/f.u.

## B
First-principles (PBE-GGA) data for a geometry-optimized InGaSb structure, as listed in the Alexandria database.

Cell: 4.5588 3.0561 12.5575 Å, 90.00 90.00 90.00°
Last column: nearest neighbours and their distance in Å.
Fractional positions:
In  0.0000  0.0000  0.2282  2 Ga 2.94, 2 In 3.06, 2 Sb 3.09
In  0.0000  0.5000  0.7282  2 Ga 2.94, 2 In 3.06, 2 Sb 3.09
Ga  0.0000  0.0000  0.9281  2 Sb 2.83, 2 In 2.94, 2 Ga 3.06
Ga  0.0000  0.5000  0.4281  2 Sb 2.83, 2 In 2.94, 2 Ga 3.06
Sb  0.5000  0.0000  0.0624  2 Ga 2.83, 2 Sb 3.06, 2 In 3.09
Sb  0.5000  0.5000  0.5624  2 Ga 2.83, 2 Sb 3.06, 2 In 3.09

Summary:
**Space-group type**: Amm2, No. 38
**ρ**: 5.8 g cm⁻³
**Size of the total moment**: 0.000 μB per formula unit
**DOS(E_F)**: 0.9 states/eV/f.u.

Winner for stability: A

## A
First-principles (PBE-GGA) data for a geometry-optimized InGa2Sb structure, as listed in the Alexandria database.

Cell: 4.0478 4.0478 8.8102 Å, 76.72 76.72 60.00°
Last column: nearest neighbours and their distance in Å.
Fractional positions:
Sb  0.5000  0.5000  0.5000  6 Ga 2.79
Ga  0.1068  0.1068  0.6795  1 In 2.72, 3 Sb 2.79
Ga  0.8932  0.8932  0.3205  1 In 2.72, 3 Sb 2.79
In  0.0000  0.0000  0.0000  2 Ga 2.72

Summary:
**Space-group type**: R-3m, No. 166
**ρ**: 5.2 g cm⁻³
**Size of the total moment**: 0.000 μB per formula unit
**DOS(E_F)**: 2.2 states/eV/f.u.

## B
First-principles (PBE-GGA) data for a geometry-optimized InGa2Sb structure, as listed in the Alexandria database.

Cell: 4.7391 4.5235 4.5235 Å, 90.00 90.00 90.00°
Last column: nearest neighbours and their distance in Å.
Fractional positions:
Sb  0.5000  0.0000  0.0000  4 In 3.20, 8 Ga 3.28
Ga  0.0000  0.0000  0.5000  4 Ga 3.20, 4 In 3.28, 4 Sb 3.28
Ga  0.0000  0.5000  0.0000  4 Ga 3.20, 4 Sb 3.28, 4 In 3.28
In  0.5000  0.5000  0.5000  4 Sb 3.20, 8 Ga 3.28

Summary:
**Space-group type**: P4/mmm, No. 123
**ρ**: 6.4 g cm⁻³
**Size of the total moment**: 0.000 μB per formula unit
**DOS(E_F)**: 1.5 states/eV/f.u.

## C
First-principles (PBE-GGA) data for a geometry-optimized InGa2Sb structure, as listed in the Alexandria database.

Cell: 6.4798 6.4798 7.4409 Å, 64.19 64.19 90.00°
Last column: nearest neighbours and their distance in Å.
Fractional positions:
Sb  0.0000  0.0000  0.0000  4 Ga 2.70
Sb  0.7500  0.2500  0.5000  4 Ga 2.70
Ga  0.6307  0.1250  0.2500  2 Sb 2.70, 2 In 2.74
Ga  0.1193  0.6250  0.2500  2 Sb 2.70, 2 In 2.74
Ga  0.3750  0.3693  0.7500  2 Sb 2.70, 2 In 2.74
Ga  0.8750  0.8807  0.7500  2 Sb 2.70, 2 In 2.74
In  0.5000  0.5000  0.0000  4 Ga 2.74
In  0.2500  0.7500  0.5000  4 Ga 2.74

Summary:
**Space-group type**: I-42d, No. 122
**ρ**: 5.1 g cm⁻³
**Size of the total moment**: 0.000 μB per formula unit
**DOS(E_F)**: 1.5 states/eV/f.u.

## D
First-principles (PBE-GGA) data for a geometry-optimized InGa2Sb structure, as listed in the Alexandria database.

Cell: 3.5119 3.5119 7.6018 Å, 90.00 90.00 90.00°
Last column: nearest neighbours and their distance in Å.
Fractional positions:
Sb  0.5000  0.5000  0.0000  8 Ga 3.09
Ga  0.0000  0.0000  0.7576  4 Sb 3.09, 4 In 3.16
Ga  0.0000  0.0000  0.2424  4 Sb 3.09, 4 In 3.16
In  0.5000  0.5000  0.5000  8 Ga 3.16, 4 In 3.51

Summary:
**Space-group type**: P4/mmm, No. 123
**ρ**: 6.7 g cm⁻³
**Size of the total moment**: 0.000 μB per formula unit
**DOS(E_F)**: 1.0 states/eV/f.u.

Winner for stability: B